No. 1
Material: TeO
Method: DFT, PBE
State: optimized geometry

a = 3.237 Å, b = 4.869 Å, c = 5.717 Å
α = 100.44°, β = 92.92°, γ = 106.12°
Space group P-1 (No. 2)
One atom of each set of equivalent atoms:
Te: 0.077 0.153 0.262 (multiplicity 2)
O: 0.059 0.235 0.671 (multiplicity 2)

Output
Raw formation energy   -0.89 eV per formula unit
ρ   5.6 g/cm3
Raw total energy   -4.49 eV per atom


No. 2
Material: Pa5ZnTc4
Method: DFT, PBE
State: optimized geometry

a = 3.399 Å, b = 3.399 Å, c = 17.932 Å
α = 90.00°, β = 90.00°, γ = 90.00°
Space group P4/mmm (No. 123)
One atom of each set of equivalent atoms:
Pa: 0.000 0.000 0.000 (multiplicity 1)
Pa: 0.000 0.000 0.195 (multiplicity 2)
Pa: 0.000 0.000 0.389 (multiplicity 2)
Zn: 0.500 0.500 0.500 (multiplicity 1)
Tc: 0.500 0.500 0.099 (multiplicity 2)
Tc: 0.500 0.500 0.294 (multiplicity 2)

Output
ρ   12.9 g/cm3
Raw total energy   -9.14 eV per atom
Energy relative to the elements   -122 meV/atom


No. 3
Material: TaNb2InAs
Method: DFT, PBE
State: optimized geometry

a = 5.086 Å, b = 5.086 Å, c = 4.766 Å
α = 90.00°, β = 90.00°, γ = 90.00°
Space group P4/mmm (No. 123)
One atom of each set of equivalent atoms:
Ta: 0.000 0.000 0.000 (multiplicity 1)
Nb: 0.000 0.500 0.500 (multiplicity 2)
In: 0.500 0.500 0.500 (multiplicity 1)
As: 0.500 0.500 0.000 (multiplicity 1)

Output
ρ   7.5 g/cm3
Raw total energy   -5.91 eV per atom
Energy relative to the elements   1966 meV/atom